{
  "formula": "SrBr7",
  "functional": "PBE",
  "state": "optimized geometry",
  "sg": "No. 225",
  "cell": [[-5.798, -0.569, 3.551], [-4.012, 5.449, 0.877], [-6.013, 0.361, -3.205]],
  "species": ["Br", "Br", "Br", "Br", "Br", "Br", "Br", "Sr"],
  "fractional_positions": [[0.500, 0.500, 0.000], [0.500, 0.000, 0.000], [0.000, 0.500, 0.500], [0.000, 0.500, 0.000], [0.000, 0.000, 0.500], [0.500, 0.000, 0.500], [0.500, 0.500, 0.500], [0.000, 0.000, 0.000]]
}

---

{
  "formula": "SrBr2",
  "functional": "PBE",
  "state": "optimized geometry",
  "sg": "No. 63",
  "cell": [[-7.345, -6.499, 2.621], [8.028, 2.934, -5.477], [3.674, -2.525, 4.032]],
  "species": ["Br", "Br", "Br", "Br", "Sr", "Sr"],
  "fractional_positions": [[0.645, 0.355, 0.500], [0.799, 0.201, 0.000], [0.006, 0.994, 0.000], [0.438, 0.562, 0.500], [0.391, 0.609, 0.000], [0.054, 0.946, 0.500]]
}

---

{
  "formula": "Sr3Br4",
  "functional": "PBE",
  "state": "optimized geometry",
  "relative_energy_mev_per_atom": 0,
  "sg": "No. 139",
  "cell": [[-1.985, 1.985, 16.503], [1.985, -1.985, 16.503], [1.985, 1.985, -16.503]],
  "species": ["Br", "Br", "Br", "Br", "Sr", "Sr", "Sr"],
  "fractional_positions": [[0.448, 0.448, 0.000], [0.847, 0.847, 0.000], [0.153, 0.153, 0.000], [0.552, 0.552, 0.000], [0.698, 0.698, 0.000], [0.302, 0.302, 0.000], [0.000, 0.000, 0.000]]
}

---

{
  "formula": "Sr8Br",
  "functional": "PBE",
  "state": "optimized geometry",
  "sg": "No. 139",
  "cell": [[-7.168, 7.168, 2.225], [7.168, -7.168, 2.225], [7.168, 7.168, -2.225]],
  "species": ["Sr", "Sr", "Sr", "Sr", "Sr", "Sr", "Sr", "Sr", "Br"],
  "fractional_positions": [[0.656, 0.344, 0.000], [0.661, 0.000, 0.661], [0.344, 0.344, 0.688], [0.000, 0.661, 0.661], [0.344, 0.656, 0.000], [0.656, 0.656, 0.312], [0.339, 0.000, 0.339], [0.000, 0.339, 0.339], [0.000, 0.000, 0.000]]
}

---

{
  "formula": "Sr3Br",
  "functional": "PBE",
  "state": "optimized geometry",
  "relative_energy_mev_per_atom": 402,
  "sg": "No. 194",
  "cell": [[4.003, -6.934, 0.000], [4.003, 6.934, 0.000], [0.000, 0.000, 7.027]],
  "species": ["Sr", "Sr", "Sr", "Sr", "Sr", "Sr", "Br", "Br"],
  "fractional_positions": [[0.670, 0.835, 0.750], [0.330, 0.165, 0.250], [0.835, 0.165, 0.250], [0.165, 0.330, 0.750], [0.165, 0.835, 0.750], [0.835, 0.670, 0.250], [0.667, 0.333, 0.750], [0.333, 0.667, 0.250]]
}

---

{
  "formula": "Sr3Br",
  "functional": "PBE",
  "state": "optimized geometry",
  "relative_energy_mev_per_atom": 206,
  "sg": "No. 25",
  "cell": [[-0.333, -3.283, 2.714], [2.325, -4.212, -4.810], [6.885, 1.190, 2.285]],
  "species": ["Br", "Sr", "Sr", "Sr"],
  "fractional_positions": [[0.000, 0.000, 0.147], [0.500, 0.500, 0.780], [0.000, 0.500, 0.287], [0.500, 0.000, 0.453]]
}

---

Magnetic moment for every record listed, in sequence, given in μB/f.u.: 0.1, 0.0, 0.0, 0.0, 0.0, 0.0.
Density for every record listed, in sequence, given in g cm⁻³: 4.78, 2.99, 3.72, 2.83, 2.92, 2.66.
Formation energy without anion corrections for every record listed, in sequence, given in eV/atom: -0.272, -2.053, -1.674, -0.211, -0.322, -0.518.